Record 1
A relaxed structure of Pr7Dy4In. Source: Alexandria, functional PBE.

The calculation puts the total energy at -54.2 eV/cell.

It has space group P-1 (No. 2), with a = 5.722 Å, b = 6.518 Å, c = 11.691 Å, α = 100.35°, β = 104.13° and γ = 90.04°. The inequivalent atoms are Pr at (0.000, 0.000, 0.000), Pr at (0.139, 0.519, 0.278), Pr at (0.208, 0.071, 0.417), Pr at (0.453, 0.690, 0.906), Dy at (0.293, 0.604, 0.587), Dy at (0.384, 0.155, 0.769) and In at (0.000, 0.500, 0.000).

---

Record 2
A relaxed structure of Pr3Dy3In. Source: Alexandria, functional PBE.

The energy above the most stable polymorph in this dataset comes out at 0.30 eV/f.u.

It has space group Pnma (No. 62), with a = 12.918 Å, b = 5.514 Å, c = 12.881 Å, α = 90.00°, β = 90.00° and γ = 90.00°. The inequivalent atoms are Pr at (0.132, 0.250, 0.182), Pr at (0.135, 0.750, 0.816), Pr at (0.218, 0.750, 0.406), Dy at (0.002, 0.750, 0.574), Dy at (0.004, 0.750, 0.059), Dy at (0.216, 0.250, 0.587) and In at (0.005, 0.250, 0.707).

---

Record 3
A relaxed structure of Pr3Dy2In2. Source: Alexandria, functional PBE.

The energy above the most stable polymorph in this dataset comes out at 0.00 eV/f.u.

It has space group Cmmm (No. 65), with a = 4.980 Å, b = 24.378 Å, c = 3.548 Å, α = 90.00°, β = 90.00° and γ = 90.00°. The inequivalent atoms are Pr at (0.000, 0.000, 0.000), Pr at (0.000, 0.142, 0.000), Dy at (0.000, 0.288, 0.500) and In at (0.000, 0.428, 0.500).

---

Record 4
A relaxed structure of Pr5Dy2In4. Source: Alexandria, functional PBE.

The energy above the most stable polymorph in this dataset comes out at 0.00 eV/f.u.

It has space group P2/m (No. 10), with a = 8.859 Å, b = 3.470 Å, c = 10.816 Å, α = 90.00°, β = 95.41° and γ = 90.00°. The inequivalent atoms are Pr at (0.000, 0.000, 0.000), Pr at (0.039, 0.000, 0.336), Pr at (0.344, 0.000, 0.860), Dy at (0.418, 0.000, 0.363), In at (0.260, 0.500, 0.576) and In at (0.299, 0.500, 0.126).